Zn2ReTc: optimized geometry, PBE.

a = 5.270 Å, b = 8.451 Å, c = 2.615 Å
α = 90.00°, β = 90.00°, γ = 90.00°
Fractional positions:
1 Zn 0.250 0.250 0.000
2 Zn 0.250 0.750 0.000
3 Zn 0.750 0.250 0.000
4 Zn 0.750 0.750 0.000
5 Re 0.000 0.000 0.500
6 Re 0.500 0.500 0.500
7 Tc 0.000 0.500 0.500
8 Tc 0.500 0.000 0.500

Calculated values
Magnetization ... 0.00 μB/f.u.
ΔH_f (0 K) ... 0.32 eV/atom